No. 1
# Na4Er3AlTe8

Na4Er3AlTe8 after structural relaxation (PBE, the Alexandria database).

Cell and atoms, written as POSCAR:
```
Na4Er3AlTe8
1.0
4.344 2.508 7.560
-4.344 2.508 7.560
0.000 -5.016 7.560
Na Er Al Te
4 3 1 8
direct
0.000 0.000 0.000
0.000 0.500 0.500
0.500 0.000 0.500
0.500 0.500 0.000
0.000 0.000 0.500
0.000 0.500 0.000
0.500 0.000 0.000
0.500 0.500 0.500
0.244 0.244 0.244
0.258 0.731 0.731
0.269 0.269 0.742
0.269 0.742 0.269
0.731 0.258 0.731
0.731 0.731 0.258
0.742 0.269 0.269
0.756 0.756 0.756
```

- DOS(E_F) (states/eV/atom) = 0.0693
- ΔE_f (raw) (eV/atom) = -1.103
- final energy (eV for the cell shown) = -65.48

=====

No. 2
# CdIn2Ag

CdIn2Ag after structural relaxation (PBE, the Alexandria database).

Cell and atoms, written as POSCAR:
```
CdIn2Ag
1.0
3.397 0.000 0.000
0.000 4.897 0.000
-1.611 0.000 5.639
Cd In Ag
1 2 1
direct
0.000 0.000 0.000
0.267 0.000 0.534
0.580 0.500 0.176
0.839 0.500 0.696
```

- DOS(E_F) (states/eV/atom) = 0.3516
- final energy (eV for the cell shown) = -9.11
- energy of formation from the pure elements (eV/f.u.) = 0.13

=====

No. 3
# Hf2ZrTc4

Hf2ZrTc4 after structural relaxation (PBE, the Alexandria database).

Cell and atoms, written as POSCAR:
```
Hf2ZrTc4
1.0
-3.210 3.210 3.176
3.210 -3.210 3.176
3.210 3.210 -3.176
Hf Zr Tc
2 1 4
direct
0.000 0.500 0.500
0.500 0.000 0.500
0.000 0.000 0.000
0.000 0.000 0.500
0.000 0.500 0.000
0.500 0.000 0.000
0.500 0.500 0.500
```

- DOS(E_F) (states/eV/atom) = 1.4061
- final energy (eV for the cell shown) = -68.29
- energy of formation from the pure elements (eV/f.u.) = 1.63

=====

No. 4
# VReAu2S

VReAu2S after structural relaxation (PBE, the Alexandria database).

Cell and atoms, written as POSCAR:
```
VReAu2S
1.0
4.604 0.000 0.000
0.000 4.604 0.000
0.000 0.000 4.264
V Re Au S
1 1 2 1
direct
0.000 0.000 0.000
0.500 0.500 0.000
0.000 0.500 0.500
0.500 0.000 0.500
0.000 0.000 0.500
```

- DOS(E_F) (states/eV/atom) = 1.3468
- ΔE_f (raw) (eV/atom) = 1.176
- final energy (eV for the cell shown) = -26.37

=====

No. 5
# Y5MgHg6

Y5MgHg6 after structural relaxation (PBE, the Alexandria database).

Cell and atoms, written as POSCAR:
```
Y5MgHg6
1.0
4.517 -7.846 0.000
4.517 7.846 0.000
-2.955 0.000 4.248
Y Mg Hg
5 1 6
direct
0.000 0.000 0.000
0.169 0.831 0.500
0.338 0.662 0.000
0.662 0.338 0.000
0.831 0.169 0.500
0.500 0.500 0.500
0.091 0.418 0.254
0.255 0.255 0.756
0.418 0.091 0.254
0.582 0.909 0.746
0.745 0.745 0.244
0.909 0.582 0.746
```

- DOS(E_F) (states/eV/atom) = 0.6596
- final energy (eV for the cell shown) = -41.56
- energy of formation from the pure elements (eV/f.u.) = -5.84

=====

No. 6
# Sc2TlAu

Sc2TlAu after structural relaxation (PBE, the Alexandria database).

Cell and atoms, written as POSCAR:
```
Sc2TlAu
1.0
1.765 1.019 8.740
-1.765 1.019 8.740
0.000 -2.038 8.740
Sc Tl Au
2 1 1
direct
0.000 0.000 0.000
0.186 0.186 0.186
0.761 0.761 0.761
0.593 0.593 0.593
```

- DOS(E_F) (states/eV/atom) = 1.1762
- final energy (eV for the cell shown) = -19.74
- energy of formation from the pure elements (eV/f.u.) = -1.44

=====

No. 7
# PaMnAl8Si2

PaMnAl8Si2 after structural relaxation (PBE, the Alexandria database).

Cell and atoms, written as POSCAR:
```
PaMnAl8Si2
1.0
3.882 -2.536 0.000
3.882 2.536 0.000
-0.174 0.000 10.556
Pa Mn Al Si
1 1 8 2
direct
0.000 0.000 0.000
0.000 0.000 0.500
0.202 0.714 0.305
0.286 0.798 0.695
0.321 0.321 0.527
0.326 0.326 0.852
0.674 0.674 0.148
0.679 0.679 0.473
0.714 0.202 0.305
0.798 0.286 0.695
0.338 0.338 0.119
0.662 0.662 0.881
```

- DOS(E_F) (states/eV/atom) = 0.7469
- ΔE_f (raw) (eV/atom) = -0.009
- final energy (eV for the cell shown) = -59.56

=====

No. 8
# KIn3Te

KIn3Te after structural relaxation (PBE, the Alexandria database).

Cell and atoms, written as POSCAR:
```
KIn3Te
1.0
6.100 0.000 0.000
0.000 6.100 0.000
0.000 0.000 6.100
K In Te
1 3 1
direct
0.000 0.000 0.000
0.000 0.000 0.500
0.000 0.500 0.000
0.500 0.000 0.000
0.500 0.500 0.500
```

- DOS(E_F) (states/eV/atom) = 0.4875
- ΔE_f (raw) (eV/atom) = 0.681
- final energy (eV for the cell shown) = -9.05
- energy above the lowest structure with this stoichiometry (kJ/mol of atoms) = 46.0

=====

No. 9
# TiBe2I

TiBe2I after structural relaxation (PBE, the Alexandria database).

Cell and atoms, written as POSCAR:
```
TiBe2I
1.0
0.000 3.198 3.198
3.198 0.000 3.198
3.198 3.198 0.000
Ti Be I
1 2 1
direct
0.000 0.000 0.000
0.250 0.250 0.250
0.750 0.750 0.750
0.500 0.500 0.500
```

- DOS(E_F) (states/eV/atom) = 1.4364
- ΔE_f (raw) (eV/atom) = 1.129
- final energy (eV for the cell shown) = -12.38
- energy above the lowest structure with this stoichiometry (kJ/mol of atoms) = 28.5

=====

No. 10
# Ba2MgCl2O2

Ba2MgCl2O2 after structural relaxation (PBE, the Alexandria database).

Cell and atoms, written as POSCAR:
```
Ba2MgCl2O2
1.0
-2.139 2.139 8.099
2.139 -2.139 8.099
2.139 2.139 -8.099
Ba Mg Cl O
2 1 2 2
direct
0.109 0.109 0.000
0.891 0.891 0.000
0.500 0.500 0.000
0.323 0.323 0.000
0.677 0.677 0.000
0.000 0.500 0.500
0.500 0.000 0.500
```

- DOS(E_F) (states/eV/atom) = 0.0000
- ΔE_f (raw) (eV/atom) = -2.553
- final energy (eV for the cell shown) = -36.92

=====

Question: Which of these has the lowest DOS(E_F)?
Answer: Ba2MgCl2O2

=====

Question: Look up the DOS(E_F) of the seventh one.
Answer: 0.7469 states/eV/atom